P.
The following is a PBE calculation of a geometry-optimized KIn3Ag structure, from the Alexandria database.

## Properties
**SG**: Pm-3m
**Total magnetization**: 0.00 μB per cell

Cell lengths 6.083, 6.083, 6.083 Å; angles 90.00, 90.00, 90.00 degrees
Positions (direct):
K  0.000  0.000  0.000
In  0.000  0.000  0.500
In  0.000  0.500  0.000
In  0.500  0.000  0.000
Ag  0.500  0.500  0.500

***

Q.
The following is a PBE calculation of a geometry-optimized KIn3Ag structure, from the Alexandria database.

## Properties
**SG**: C2/c
**Total magnetization**: 0.00 μB per cell

Cell lengths 10.062, 10.062, 6.559 Å; angles 99.37, 99.37, 59.94 degrees
Positions (direct):
K  0.008  0.992  0.750
K  0.361  0.639  0.250
K  0.639  0.361  0.750
K  0.992  0.008  0.250
In  0.018  0.342  0.600
In  0.022  0.341  0.081
In  0.321  0.325  0.412
In  0.325  0.321  0.912
In  0.341  0.022  0.581
In  0.342  0.018  0.100
In  0.658  0.982  0.900
In  0.659  0.978  0.419
In  0.675  0.679  0.088
In  0.679  0.675  0.588
In  0.978  0.659  0.919
In  0.982  0.658  0.400
Ag  0.238  0.599  0.714
Ag  0.401  0.762  0.786
Ag  0.599  0.238  0.214
Ag  0.762  0.401  0.286

***

Name the least stable of them. P.

***

P.
The following is a PBE calculation of a geometry-optimized KIn3Ag structure, from the Alexandria database.

## Properties
**SG**: Cm
**Total magnetization**: 0.00 μB per cell

Cell lengths 4.751, 4.751, 7.214 Å; angles 109.32, 109.32, 89.55 degrees
Positions (direct):
K  0.000  0.000  0.000
In  0.260  0.761  0.522
In  0.608  0.608  0.217
In  0.761  0.260  0.522
Ag  0.390  0.390  0.779

***

Q.
The following is a PBE calculation of a geometry-optimized KIn3Ag structure, from the Alexandria database.

## Properties
**SG**: Pm-3m
**Total magnetization**: 0.00 μB per cell

Cell lengths 5.493, 5.493, 5.493 Å; angles 90.00, 90.00, 90.00 degrees
Positions (direct):
K  0.000  0.000  0.000
In  0.000  0.500  0.500
In  0.500  0.000  0.500
In  0.500  0.500  0.000
Ag  0.500  0.500  0.500

***

Name the least stable of them. Q.

***

P.
The following is a PBE calculation of a geometry-optimized KIn3Ag3 structure, from the Alexandria database.

## Properties
**SG**: R-3
**Total magnetization**: 0.00 μB per cell

Cell lengths 9.343, 9.343, 9.343 Å; angles 47.00, 47.00, 47.00 degrees
Positions (direct):
K  0.162  0.162  0.162
K  0.838  0.838  0.838
In  0.070  0.219  0.582
In  0.219  0.582  0.070
In  0.418  0.930  0.781
In  0.582  0.070  0.219
In  0.781  0.418  0.930
In  0.930  0.781  0.418
Ag  0.203  0.387  0.638
Ag  0.362  0.797  0.613
Ag  0.387  0.638  0.203
Ag  0.613  0.362  0.797
Ag  0.638  0.203  0.387
Ag  0.797  0.613  0.362

***

Q.
The following is a PBE calculation of a geometry-optimized KIn3Ag3 structure, from the Alexandria database.

## Properties
**SG**: P2_1/m
**Total magnetization**: 0.00 μB per cell

Cell lengths 9.274, 4.735, 9.317 Å; angles 90.00, 119.80, 90.00 degrees
Positions (direct):
K  0.167  0.250  0.332
K  0.833  0.750  0.668
In  0.242  0.250  0.968
In  0.272  0.750  0.741
In  0.468  0.750  0.228
In  0.532  0.250  0.772
In  0.728  0.250  0.259
In  0.758  0.750  0.032
Ag  0.054  0.250  0.605
Ag  0.106  0.750  0.051
Ag  0.448  0.750  0.553
Ag  0.552  0.250  0.447
Ag  0.894  0.250  0.949
Ag  0.946  0.750  0.395

***

Name the least stable of them. P.

***

P.
The following is a PBE calculation of a geometry-optimized KNa2InAg structure, from the Alexandria database.

## Properties
**SG**: P4/mmm
**Total magnetization**: 0.00 μB per cell

Cell lengths 5.995, 5.995, 5.350 Å; angles 90.00, 90.00, 90.00 degrees
Positions (direct):
K  0.000  0.000  0.000
Na  0.000  0.500  0.500
Na  0.500  0.000  0.500
In  0.500  0.500  0.500
Ag  0.500  0.500  0.000

***

Q.
The following is a PBE calculation of a geometry-optimized KNa2InAg structure, from the Alexandria database.

## Properties
**SG**: P4/mmm
**Total magnetization**: 0.00 μB per cell

Cell lengths 5.772, 5.772, 5.358 Å; angles 90.00, 90.00, 90.00 degrees
Positions (direct):
K  0.000  0.000  0.000
Na  0.000  0.500  0.500
Na  0.500  0.000  0.500
In  0.500  0.500  0.000
Ag  0.500  0.500  0.500

***

Name the least stable of them. P.